Compound: Tb8In2Ag
Source: the Alexandria database
Functional: PBE
Structure: relaxed

```
11
Lattice="5.199 0.000 0.000 0.000 6.795 0.356 -2.600 -2.449 9.024" Properties=species:S:1:pos:R:3 pbc="T T T"
Tb 0.000 1.642 7.538
Tb 2.600 5.861 3.122
Tb 2.600 3.321 5.579
Tb 2.600 -0.775 8.793
Tb 0.000 1.026 3.801
Tb 0.000 -1.514 6.258
Tb 2.600 2.705 1.842
Tb 0.000 5.122 0.587
In 2.600 0.190 5.728
In 0.000 4.157 3.653
Ag 2.600 0.000 0.000
```

E_form: -0.19 eV/atom

Compound: ErNiGe2Ir
Source: the Alexandria database
Functional: PBE
Structure: relaxed

```
5
Lattice="-3.407 -1.504 -1.659 2.129 -3.110 -1.553 -0.233 -0.414 5.861" Properties=species:S:1:pos:R:3 pbc="T T T"
Er 0.000 0.000 0.000
Ni -2.139 -2.112 1.298
Ge -0.849 -2.965 -0.577
Ge -0.661 -2.063 3.226
Ir 0.629 -2.916 1.351
```

E_form: -0.66 eV/atom

Compound: CeErSe2
Source: the Alexandria database
Functional: PBE
Structure: relaxed

```
4
Lattice="4.081 0.000 0.000 2.041 3.535 0.000 2.041 1.178 6.861" Properties=species:S:1:pos:R:3 pbc="T T T"
Se 2.041 1.178 1.608
Se 6.122 3.535 5.253
Ce 4.081 2.356 3.430
Er 0.000 0.000 0.000
```

formation energy without anion corrections: -1774 meV per atom
E above lowest polymorph: 0.0 meV per atom

What DFT total energy values result from the calculations? In sequence: -4.31, -6.35, -6.14 eV/atom.